The following is a PBE calculation of TlOs3 after structural relaxation, from Alexandria via LeMat-Bulk.

```
data_TlOs3
_space_group_name_H-M_alt 'P 1'
_space_group_IT_number 1
_space_group_name_Hall 'P 1'
_cell_length_a 4.013
_cell_length_b 4.013
_cell_length_c 4.013
_cell_angle_alpha 90.00
_cell_angle_beta 90.00
_cell_angle_gamma 90.00
loop_
_atom_site_label
_atom_site_type_symbol
_atom_site_fract_x
_atom_site_fract_y
_atom_site_fract_z
_atom_site_occupancy
Os1 Os 0.000 0.500 0.500 1
Os2 Os 0.500 0.000 0.500 1
Os3 Os 0.500 0.500 0.000 1
Tl1 Tl 0.000 0.000 0.000 1
```

Summary:
Calculated formation energy in eV/f.u.: 4.7
Magnetization in μB/cell: 0.0
SG: No. 221

The following is a PBE calculation of DyHO after structural relaxation, from Alexandria via LeMat-Bulk.

```
data_DyHO
_space_group_name_H-M_alt 'P 1'
_space_group_IT_number 1
_space_group_name_Hall 'P 1'
_cell_length_a 3.749
_cell_length_b 3.749
_cell_length_c 3.749
_cell_angle_alpha 60.00
_cell_angle_beta 60.00
_cell_angle_gamma 60.00
loop_
_atom_site_label
_atom_site_type_symbol
_atom_site_fract_x
_atom_site_fract_y
_atom_site_fract_z
_atom_site_occupancy
H1 H 0.000 0.000 0.000 1
O1 O 0.500 0.500 0.500 1
Dy1 Dy 0.250 0.250 0.250 1
```

Summary:
VASP energy in eV per atom: -6.60
Magnetization in μB/cell: 0.0
SG: No. 216

The following is a PBE calculation of La2ScInO6 after structural relaxation, from Alexandria via LeMat-Bulk.

```
data_La2ScInO6
_space_group_name_H-M_alt 'P 1'
_space_group_IT_number 1
_space_group_name_Hall 'P 1'
_cell_length_a 5.736
_cell_length_b 5.921
_cell_length_c 8.250
_cell_angle_alpha 90.00
_cell_angle_beta 90.04
_cell_angle_gamma 90.00
loop_
_atom_site_label
_atom_site_type_symbol
_atom_site_fract_x
_atom_site_fract_y
_atom_site_fract_z
_atom_site_occupancy
La1 La 0.014 0.949 0.249 1
La2 La 0.514 0.551 0.749 1
La3 La 0.986 0.051 0.751 1
La4 La 0.486 0.449 0.251 1
Sc1 Sc 0.500 0.000 0.000 1
Sc2 Sc 0.000 0.500 0.500 1
In1 In 0.500 0.000 0.500 1
In2 In 0.000 0.500 0.000 1
O1 O 0.305 0.705 0.061 1
O2 O 0.805 0.795 0.561 1
O3 O 0.695 0.295 0.939 1
O4 O 0.195 0.205 0.439 1
O5 O 0.297 0.695 0.443 1
O6 O 0.797 0.805 0.943 1
O7 O 0.703 0.305 0.557 1
O8 O 0.203 0.195 0.057 1
O9 O 0.889 0.543 0.255 1
O10 O 0.389 0.957 0.755 1
O11 O 0.111 0.457 0.745 1
O12 O 0.611 0.043 0.245 1
```

Summary:
VASP energy in eV per atom: -7.89
Magnetization in μB/cell: 0.0
SG: No. 14

Which formula does entry 3 have?
La2ScInO6

magnetization of number 1 (TlOs3)?
0.0 μB/cell